# ReTcCl2 | Alexandria via LeMat-Bulk | PBE | relaxed
data_ReTcCl2
_symmetry_space_group_name_H-M 'I -4 2 d'
_symmetry_Int_Tables_number 122
_symmetry_space_group_name_Hall 'I -4 2bw'
_cell_length_a 5.2667
_cell_length_b 5.2667
_cell_length_c 10.5975
_cell_angle_alpha 90.00
_cell_angle_beta 90.00
_cell_angle_gamma 90.00
loop_
_atom_site_label
_atom_site_type_symbol
_atom_site_fract_x
_atom_site_fract_y
_atom_site_fract_z
_atom_site_occupancy
Re1 Re 0.0000 0.0000 0.0000 1
Tc1 Tc 0.0000 0.0000 0.5000 1
Cl1 Cl 0.2483 0.2500 0.1250 1
# Energy in Ha/atom: -0.1965
# Size of the total moment in μB/atom: 0.0000